1.
This record from Alexandria via LeMat-Bulk describes an optimized crystal structure of CoReP. The functional is GGA-PBE.

Output
Energy of formation from the pure elements (eV/atom): 0.151
Total DFT energy (no corrections) (eV/cell): -24.510

abc: 4.2967 4.2967 4.2967
angles: 140.72 130.46 64.98
With the nearest neighbours (Å) after each atom.
Atoms (fractional coordinates):
P 0.3298 0.3298 0.0000  1 Co 2.35, 5 Re 2.43-2.60
Co 0.0058 0.0058 0.0000  1 P 2.35, 5 Re 2.47-2.58
Re 0.6644 0.6644 0.0000  5 P 2.43-2.60, 5 Co 2.47-2.58


2.
This record from Alexandria via LeMat-Bulk describes an optimized crystal structure of CoRe2P. The functional is GGA-PBE.

Output
Energy of formation from the pure elements (eV/atom): -0.055
Total DFT energy (no corrections) (eV/cell): -37.633

abc: 2.8231 2.8234 6.4908
angles: 90.00 90.00 90.00
With the nearest neighbours (Å) after each atom.
Atoms (fractional coordinates):
Co 0.0000 0.0000 0.5414  4 P 2.35
Re 0.0000 0.0000 0.9705  4 P 2.52, 8 Re 2.72-2.82, 1 Co 2.79
Re 0.5000 0.5000 0.2553  8 Re 2.72-2.82, 4 Co 2.73
P 0.5000 0.5000 0.7328  4 Co 2.35, 4 Re 2.52